Density functional theory data (PBE-GGA) for a relaxed CsPm2P2N6 crystal.

abc: 6.592 6.592 6.551
angles: 114.94 114.94 58.70
Sites, in units of the cell vectors:
Cs: 0.000 0.000 0.000
Pm: 0.322 0.322 0.699
Pm: 0.678 0.678 0.301
P: 0.350 0.350 0.262
P: 0.650 0.650 0.738
N: 0.102 0.510 0.341
N: 0.433 0.433 0.130
N: 0.490 0.898 0.659
N: 0.510 0.102 0.341
N: 0.567 0.567 0.870
N: 0.898 0.490 0.659

Summary:
size of the total moment = 0.79 μB per cell
E = -7.155 eV/atom
E_form (uncorrected) = -0.6892 eV/atom
crystal system = monoclinic

***

Density functional theory data (PBE-GGA) for a relaxed CsPu3P4N12 crystal.

abc: 6.984 6.984 6.984
angles: 102.07 102.07 102.07
Sites, in units of the cell vectors:
Cs: 0.000 0.000 0.000
Pu: 0.000 0.557 0.443
Pu: 0.443 0.000 0.557
Pu: 0.557 0.443 0.000
P: 0.058 0.500 0.942
P: 0.500 0.500 0.500
P: 0.500 0.942 0.058
P: 0.942 0.058 0.500
N: 0.009 0.591 0.755
N: 0.090 0.910 0.500
N: 0.245 0.409 0.991
N: 0.353 0.647 0.500
N: 0.409 0.991 0.245
N: 0.500 0.090 0.910
N: 0.500 0.353 0.647
N: 0.591 0.755 0.009
N: 0.647 0.500 0.353
N: 0.755 0.009 0.591
N: 0.910 0.500 0.090
N: 0.991 0.245 0.409

Summary:
size of the total moment = 9.00 μB per cell
E = -8.672 eV/atom
E_form (uncorrected) = -0.4025 eV/atom
crystal system = trigonal

***

Density functional theory data (PBE-GGA) for a relaxed CsPu2P2N6 crystal.

abc: 6.401 6.401 6.418
angles: 118.01 118.01 57.30
Sites, in units of the cell vectors:
Cs: 0.000 0.000 0.000
Pu: 0.315 0.315 0.700
Pu: 0.685 0.685 0.300
P: 0.393 0.393 0.330
P: 0.607 0.607 0.670
N: 0.105 0.527 0.366
N: 0.425 0.425 0.111
N: 0.473 0.895 0.634
N: 0.527 0.105 0.366
N: 0.575 0.575 0.889
N: 0.895 0.473 0.634

Summary:
size of the total moment = 7.00 μB per cell
E = -8.804 eV/atom
E_form (uncorrected) = -0.5960 eV/atom
crystal system = monoclinic

***

Density functional theory data (PBE-GGA) for a relaxed Cs2PuP2N6 crystal.

abc: 7.773 7.773 7.773
angles: 44.38 44.38 44.38
Sites, in units of the cell vectors:
Cs: 0.208 0.208 0.208
Cs: 0.792 0.792 0.792
Pu: 0.000 0.000 0.000
P: 0.391 0.391 0.391
P: 0.609 0.609 0.609
N: 0.239 0.239 0.706
N: 0.239 0.706 0.239
N: 0.294 0.761 0.761
N: 0.706 0.239 0.239
N: 0.761 0.294 0.761
N: 0.761 0.761 0.294

Summary:
size of the total moment = 2.07 μB per cell
E = -7.365 eV/atom
E_form (uncorrected) = -0.3823 eV/atom
crystal system = trigonal

***

Density functional theory data (PBE-GGA) for a relaxed CsPSN2 crystal.

abc: 4.194 4.194 7.026
angles: 90.00 90.00 90.00
Sites, in units of the cell vectors:
Cs: 0.000 0.000 0.000
P: 0.500 0.500 0.500
S: 0.000 0.000 0.500
N: 0.000 0.500 0.000
N: 0.500 0.000 0.000

Summary:
size of the total moment = 2.09 μB per cell
E = -2.648 eV/atom
E_form (uncorrected) = 2.7599 eV/atom
crystal system = tetragonal

***

Density functional theory data (PBE-GGA) for a relaxed CsPS2N crystal.

abc: 5.746 5.746 3.235
angles: 90.00 90.00 90.00
Sites, in units of the cell vectors:
Cs: 0.000 0.000 0.000
P: 0.500 0.500 0.500
S: 0.000 0.500 0.500
S: 0.500 0.000 0.500
N: 0.500 0.500 0.000

Summary:
size of the total moment = 0.00 μB per cell
E = -4.125 eV/atom
E above lowest polymorph = 0.0 meV per atom
E_form (uncorrected) = 0.4433 eV/atom
crystal system = tetragonal

***

Density functional theory data (PBE-GGA) for a relaxed CsPS2N crystal.

abc: 5.948 5.948 6.199
angles: 90.00 90.00 90.00
Sites, in units of the cell vectors:
Cs: 0.000 0.000 0.000
P: 0.000 0.000 0.500
S: 0.000 0.500 0.000
S: 0.500 0.000 0.000
N: 0.500 0.500 0.500

Summary:
size of the total moment = 8.23 μB per cell
E = -2.181 eV/atom
E above lowest polymorph = 1943.9 meV per atom
E_form (uncorrected) = 2.3873 eV/atom
crystal system = tetragonal

***

Density functional theory data (PBE-GGA) for a relaxed Cs2PSN crystal.

abc: 6.665 6.665 3.489
angles: 90.00 90.00 90.00
Sites, in units of the cell vectors:
Cs: 0.000 0.500 0.000
Cs: 0.500 0.000 0.000
P: 0.000 0.000 0.000
S: 0.500 0.500 0.500
N: 0.000 0.000 0.500

Summary:
size of the total moment = 0.13 μB per cell
E = -3.924 eV/atom
E_form (uncorrected) = -0.0098 eV/atom
crystal system = tetragonal